Below is a geometry-optimized CaFeHgF6 structure, with properties calculated at the PBE with a Hubbard U level.

Lattice parameters (Å, degrees): 5.118 5.118 10.633 90.00 90.00 90.00
Space group P4_2nm (No. 102)
Inequivalent atoms, fractional coordinates:
1 Ca 0.000 0.000 0.000
2 Fe 0.000 0.000 0.335
3 Hg 0.000 0.000 0.669
4 F 0.184 0.184 0.176
5 F 0.190 0.190 0.487
6 F 0.215 0.215 0.841

Values from the calculation:
VASP energy = -4.72 eV/atom
Theoretical density = 4.90 g/cm3